# 1
The following is a DFT calculation (PBE) of a relaxed HfSbBr2O crystal.

Summary:
Space-group type: P4/mmm (123)
Uncorrected formation energy in eV per atom: -0.52
Calculated total energy in eV for the cell shown: -24.96

a b c (Å): 5.7417 3.8337 5.7417
angles (deg): 90.00 90.00 90.00
Sites, in units of the cell vectors:
Sb: 0.5000 0.5000 0.5000
Hf: 0.0000 0.5000 0.0000
O: 0.0000 0.0000 0.0000
Br: 0.0000 0.0000 0.5000
Br: 0.5000 0.0000 0.0000

***

# 2
The following is a DFT calculation (PBE) of a relaxed Zn8Pd3 crystal.

Summary:
Space-group type: C2/m (12)
Calculated total energy in eV for the cell shown: -29.77
Energy relative to the elements in eV/atom: -0.36

a b c (Å): 3.7133 4.8623 9.7620
angles (deg): 101.12 90.00 112.45
Sites, in units of the cell vectors:
Zn: 0.6313 0.2627 0.4562
Zn: 0.8215 0.6430 0.7252
Pd: 0.0993 0.1986 0.6449
Pd: 0.9007 0.8014 0.3551
Zn: 0.5452 0.0903 0.8201
Zn: 0.7267 0.4534 0.0912
Zn: 0.2733 0.5466 0.9088
Zn: 0.3687 0.7373 0.5438
Zn: 0.4548 0.9097 0.1799
Zn: 0.1785 0.3570 0.2748
Pd: 0.0000 0.0000 0.0000

***

# 3
The following is a DFT calculation (PBE) of a relaxed Tm5Th2 crystal.

Summary:
Space-group type: C2/c (15)
Calculated total energy in eV for the cell shown: -73.97
Energy relative to the elements in eV/atom: 0.03

a b c (Å): 6.1691 9.1082 8.3778
angles (deg): 94.71 111.60 90.00
Sites, in units of the cell vectors:
Tm: 0.5480 0.8225 0.4312
Th: 0.5978 0.8886 0.8608
Tm: 0.8401 0.2500 0.0000
Tm: 0.6903 0.5338 0.7129
Tm: 0.8832 0.3225 0.4312
Th: 0.4022 0.1114 0.1392
Th: 0.7370 0.6114 0.1392
Tm: 0.1599 0.7500 0.0000
Tm: 0.3097 0.4662 0.2871
Tm: 0.0226 0.0338 0.7129
Tm: 0.1168 0.6775 0.5688
Th: 0.2630 0.3886 0.8608
Tm: 0.9774 0.9662 0.2871
Tm: 0.4520 0.1775 0.5688

***

# 4
The following is a DFT calculation (PBE) of a relaxed Ti3MoIr2 crystal.

Summary:
Space-group type: Cmmm (65)
Calculated total energy in eV for the cell shown: -113.30
Energy relative to the elements in eV/atom: -0.74

a b c (Å): 3.1297 4.4092 13.2046
angles (deg): 90.00 90.00 90.00
Sites, in units of the cell vectors:
Ti: 0.4998 0.5000 0.6635
Ir: 0.9999 0.0000 0.3317
Mo: 0.0002 0.0000 0.0000
Ti: 0.4998 0.0000 0.5000
Ti: 0.5002 0.0000 0.1635
Ti: 0.4998 0.5000 0.3365
Ti: 0.5002 0.5000 0.0000
Ti: 0.5002 0.0000 0.8365
Ir: 0.0001 0.5000 0.1683
Ir: 0.0001 0.5000 0.8317
Mo: 0.9998 0.5000 0.5000
Ir: 0.9999 0.0000 0.6683

***

# 5
The following is a DFT calculation (PBE) of a relaxed Ca3ScRh crystal.

Summary:
Space-group type: Pm-3m (221)
Calculated total energy in eV for the cell shown: -13.38
Energy relative to the elements in eV/atom: 1.26

a b c (Å): 5.5827 5.5827 5.5827
angles (deg): 90.00 90.00 90.00
Last column: magnetic moment on the atom in μB.
Sites, in units of the cell vectors:
Sc: 0.0000 0.0000 0.0000  1.36
Ca: 0.5000 0.0000 0.0000  0.12
Ca: 0.0000 0.5000 0.0000  0.20
Ca: 0.0000 0.0000 0.5000  0.27
Rh: 0.5000 0.5000 0.5000  0.66

***

# 6
The following is a DFT calculation (PBE) of a relaxed Rb4Ta crystal.

Summary:
Space-group type: Pm-3m (221)
Calculated total energy in eV for the cell shown: -9.84
Energy relative to the elements in eV/atom: 1.18

a b c (Å): 7.2081 7.2081 7.2081
angles (deg): 90.00 90.00 90.00
Last column: magnetic moment on the atom in μB.
Sites, in units of the cell vectors:
Rb: 0.5000 0.0000 0.5000  0.04
Rb: 0.0000 0.0000 0.0000  0.00
Rb: 0.0000 0.5000 0.5000  0.04
Rb: 0.5000 0.5000 0.0000  0.04
Ta: 0.5000 0.5000 0.5000  2.42

***

# 7
The following is a DFT calculation (PBE) of a relaxed YAg3O crystal.

Summary:
Space-group type: Pm-3m (221)
Uncorrected formation energy in eV per atom: 0.04
Calculated total energy in eV for the cell shown: -19.79

a b c (Å): 4.6079 4.6079 4.6079
angles (deg): 90.00 90.00 90.00
Sites, in units of the cell vectors:
Y: 0.5000 0.5000 0.5000
Ag: 0.5000 0.0000 0.0000
Ag: 0.0000 0.5000 0.0000
O: 0.0000 0.0000 0.0000
Ag: 0.0000 0.0000 0.5000

***

# 8
The following is a DFT calculation (PBE) of a relaxed LiNpGa4 crystal.

Summary:
Space-group type: F-43m (216)
Calculated total energy in eV for the cell shown: -27.40
Energy relative to the elements in eV/atom: -0.07

a b c (Å): 5.4598 5.4598 5.4598
angles (deg): 60.00 60.00 60.00
Last column: magnetic moment on the atom in μB.
Sites, in units of the cell vectors:
Np: 0.0000 0.0000 0.0000  4.11
Li: 0.2500 0.2500 0.2500  0.01
Ga: 0.1248 0.6251 0.6251  0.03
Ga: 0.6251 0.1248 0.6251  0.03
Ga: 0.6251 0.6251 0.1248  0.03
Ga: 0.6251 0.6251 0.6251  0.03

***

# 9
The following is a DFT calculation (PBE) of a relaxed CdI2O2 crystal.

Summary:
Space-group type: P4/mmm (123)
Uncorrected formation energy in eV per atom: 0.27
Calculated total energy in eV for the cell shown: -12.56

a b c (Å): 4.3884 4.3884 7.0801
angles (deg): 90.00 90.00 90.00
Last column: magnetic moment on the atom in μB.
Sites, in units of the cell vectors:
I: 0.5000 0.5000 0.5000  0.01
O: 0.5000 0.0000 0.0000  0.69
Cd: 0.0000 0.0000 0.0000  0.02
I: 0.0000 0.0000 0.5000  0.00
O: 0.0000 0.5000 0.0000  0.69

***

# 10
The following is a DFT calculation (PBE) of a relaxed Ca2PaNi3H12 crystal.

Summary:
Space-group type: R-3m (166)
Calculated total energy in eV for the cell shown: -75.60

a b c (Å): 6.0215 6.0215 6.0215
angles (deg): 63.35 63.35 63.35
Last column: magnetic moment on the atom in μB.
Sites, in units of the cell vectors:
H: 0.7367 0.7367 0.1150  0.00
H: 0.5713 0.1369 0.1369  0.00
H: 0.2633 0.2633 0.8850  0.00
Pa: 0.0000 0.0000 0.0000  0.24
H: 0.2633 0.8850 0.2633  0.00
H: 0.1369 0.1369 0.5713  0.00
Ni: 0.5000 0.0000 0.0000  0.09
Ni: 0.0000 0.5000 0.0000  0.09
H: 0.8850 0.2633 0.2633  0.00
Ca: 0.3853 0.3853 0.3853  0.01
H: 0.1150 0.7367 0.7367  0.00
Ca: 0.6147 0.6147 0.6147  0.01
H: 0.1369 0.5713 0.1369  0.00
Ni: 0.0000 0.0000 0.5000  0.09
H: 0.4287 0.8631 0.8631  0.00
H: 0.8631 0.4287 0.8631  0.00
H: 0.7367 0.1150 0.7367  0.00
H: 0.8631 0.8631 0.4287  0.00

***

# 11
The following is a DFT calculation (PBE) of a relaxed Ac3CoGe crystal.

Summary:
Space-group type: Pmc2_1 (26)
Calculated total energy in eV for the cell shown: -50.48
Energy relative to the elements in eV/atom: -0.24

a b c (Å): 5.5746 7.6741 7.6140
angles (deg): 90.00 90.00 90.00
Sites, in units of the cell vectors:
Ac: 0.0000 0.2605 0.3708
Co: 0.5000 0.7569 0.8650
Co: 0.5000 0.2431 0.3650
Ac: 0.0000 0.7395 0.8708
Ge: 0.0000 0.7129 0.3286
Ac: 0.5000 0.5693 0.5447
Ac: 0.5000 0.9174 0.1954
Ac: 0.5000 0.0826 0.6954
Ac: 0.5000 0.4307 0.0447
Ge: 0.0000 0.2871 0.8286

***

# 12
The following is a DFT calculation (PBE) of a relaxed SrSnBi2 crystal.

Summary:
Space-group type: P-1 (2)
Calculated total energy in eV for the cell shown: -29.68
Energy relative to the elements in eV/atom: -0.35

a b c (Å): 5.2386 6.6032 9.1547
angles (deg): 108.37 105.30 91.74
Sites, in units of the cell vectors:
Bi: 0.3417 0.0043 0.2102
Sr: 0.9413 0.9174 0.4668
Sn: 0.5039 0.3021 0.5696
Bi: 0.0687 0.5637 0.6918
Sr: 0.7195 0.6421 0.0042
Bi: 0.3191 0.5552 0.2607
Sn: 0.1570 0.2574 0.9013
Bi: 0.5922 0.9958 0.7791